No. 1
The following is a DFT calculation (PBE) of a geometry-optimized NaSr2Pb structure.

Cell lengths 11.8552, 11.8552, 11.8552 Å; angles 19.98, 19.98, 19.98 degrees
With the nearest neighbours (Å) after each atom.
Sites, in units of the cell vectors:
Na 0.0000 0.0000 0.0000  6 Sr 4.03-4.04, 6 Na 4.11
Sr 0.5730 0.5730 0.5730  3 Pb 3.48
Sr 0.7601 0.7601 0.7601  3 Pb 3.48
Pb 0.1664 0.1664 0.1664  6 Sr 3.48

Energy of formation ... -14.07 kJ per mole of atoms
Spin magnetization ... 0.00 μB per cell
DOS at the Fermi energy ... 1.0815 states/eV per atom
Symmetry ... No. 160


No. 2
The following is a DFT calculation (PBE) of a geometry-optimized NaSr2Pb2 structure.

Cell lengths 8.7151, 8.7151, 4.8241 Å; angles 90.00, 90.00, 90.00 degrees
With the nearest neighbours (Å) after each atom.
Sites, in units of the cell vectors:
Na 0.0000 0.0000 0.0000  4 Pb 3.43
Na 0.5000 0.5000 0.0000  4 Pb 3.43
Sr 0.1684 0.3316 0.5000  6 Pb 3.48-3.55
Sr 0.3316 0.8316 0.5000  6 Pb 3.48-3.55
Sr 0.6684 0.1684 0.5000  6 Pb 3.48-3.55
Sr 0.8316 0.6684 0.5000  6 Pb 3.48-3.55
Pb 0.1279 0.6279 0.0000  1 Pb 3.15, 2 Na 3.43, 2 Sr 3.48
Pb 0.3721 0.1279 0.0000  1 Pb 3.15, 2 Na 3.43, 2 Sr 3.48
Pb 0.6279 0.8721 0.0000  1 Pb 3.15, 2 Na 3.43, 2 Sr 3.48
Pb 0.8721 0.3721 0.0000  1 Pb 3.15, 2 Na 3.43, 2 Sr 3.48

Energy of formation ... -41.49 kJ per mole of atoms
Spin magnetization ... 0.00 μB per cell
DOS at the Fermi energy ... 0.3715 states/eV per atom
Symmetry ... No. 127


No. 3
The following is a DFT calculation (PBE) of a geometry-optimized Na2SrTlPb2 structure.

Cell lengths 4.9744, 9.5841, 8.2040 Å; angles 90.00, 90.00, 90.00 degrees
With the nearest neighbours (Å) after each atom.
Sites, in units of the cell vectors:
Na 0.0000 0.0725 0.0000  5 Pb 3.45-3.61, 4 Na 3.76
Na 0.0000 0.9275 0.5000  5 Pb 3.45-3.61, 4 Na 3.76
Na 0.5000 0.1785 0.3202  4 Pb 3.13-3.22
Na 0.5000 0.8215 0.8202  4 Pb 3.13-3.22
Sr 0.5000 0.4440 0.9534  5 Pb 3.49-3.58, 4 Tl 3.66-3.87, 1 Na 3.78
Sr 0.5000 0.5560 0.4534  5 Pb 3.49-3.58, 4 Tl 3.66-3.87, 1 Na 3.78
Tl 0.0000 0.3170 0.6240  4 Pb 3.12-3.20
Tl 0.0000 0.6830 0.1240  4 Pb 3.12-3.20
Pb 0.0000 0.3685 0.2389  3 Na 3.15-3.45, 2 Tl 3.16-3.20, 2 Sr 3.49
Pb 0.0000 0.6315 0.7389  3 Na 3.15-3.45, 2 Tl 3.16-3.20, 2 Sr 3.49
Pb 0.5000 0.1341 0.7095  2 Tl 3.12, 4 Na 3.13-3.49
Pb 0.5000 0.8659 0.2095  2 Tl 3.12, 4 Na 3.13-3.49

Energy of formation ... -23.19 kJ per mole of atoms
Spin magnetization ... 0.00 μB per cell
DOS at the Fermi energy ... 0.4363 states/eV per atom
Symmetry ... No. 26